Entry from the Alexandria database: Rb2MnMoF6 after structural relaxation (PBE with a Hubbard U).

Properties
- DFT total energy (eV per atom) = -5.29

Cell lengths 6.3709, 6.3709, 6.2473 Å; angles 59.34, 59.34, 90.00 degrees
Each line ends with the local moment (μB).
Fractional coordinates of all 10 atoms:
Mo (0.0000, 0.0000, 0.0000)  3.61
Mn (0.5000, 0.5000, 0.0000)  4.69
Rb (0.7500, 0.2500, 0.5000)  0.00
Rb (0.2500, 0.7500, 0.5000)  0.00
F (0.2488, 0.2488, 0.5025)  0.04
F (0.7512, 0.7512, 0.4975)  0.04
F (0.2642, 0.2642, 0.0000)  0.04
F (0.7358, 0.7358, 0.0000)  0.04
F (0.7358, 0.2642, 0.0000)  0.04
F (0.2642, 0.7358, 0.0000)  0.04